(1)
The following is a GGA-PBEsol calculation of crystalline HgPtW2 at its relaxed geometry, from Alexandria via LeMat-Bulk.

Computed properties:
E_tot, eV per atom: -8.43
E_form, eV/atom: 0.357

a = 2.7862 Å, b = 4.9405 Å, c = 4.9962 Å
α = 99.65°, β = 106.19°, γ = 90.00°
Sites, in units of the cell vectors:
Hg 0.5000 0.0000 0.0000
Pt 0.0000 0.5000 0.0000
W 0.2570 0.2622 0.5139
W 0.7430 0.7378 0.4861



(2)
The following is a GGA-PBEsol calculation of crystalline InSb2TeIr at its relaxed geometry, from Alexandria via LeMat-Bulk.

Computed properties:
E_tot, eV per atom: -3.41

a = 5.3021 Å, b = 5.3021 Å, c = 5.3549 Å
α = 90.00°, β = 90.00°, γ = 90.00°
Sites, in units of the cell vectors:
Sb 0.0000 0.5000 0.0000
Sb 0.5000 0.0000 0.0000
Ir 0.5000 0.5000 0.5000
Te 0.0000 0.0000 0.5000
In 0.0000 0.0000 0.0000



(3)
The following is a GGA-PBEsol calculation of crystalline TlSe2Br at its relaxed geometry, from Alexandria via LeMat-Bulk.

Computed properties:
E_tot, eV per atom: -3.26
Excess energy over the best structure of this formula in the dataset, meV/atom: 0

a = 3.7717 Å, b = 5.9378 Å, c = 6.1670 Å
α = 118.78°, β = 107.81°, γ = 90.00°
Sites, in units of the cell vectors:
Br 0.7083 0.2083 0.4166
Se 0.9972 0.9972 0.9944
Se 0.3354 0.8354 0.6708
Tl 0.4591 0.4591 0.9182



(4)
The following is a GGA-PBEsol calculation of crystalline Cu2NiIr at its relaxed geometry, from Alexandria via LeMat-Bulk.

Computed properties:
E_tot, eV per atom: -6.09
Excess energy over the best structure of this formula in the dataset, meV/atom: 15
E_form, eV/atom: 0.077

a = 2.6092 Å, b = 2.6092 Å, c = 6.9792 Å
α = 90.00°, β = 90.00°, γ = 90.00°
Sites, in units of the cell vectors:
Ni 0.5000 0.5000 0.7573
Ir 0.0000 0.0000 0.5079
Cu 0.0000 0.0000 0.9962
Cu 0.5000 0.5000 0.2386



(5)
The following is a GGA-PBEsol calculation of crystalline GaOsI2O at its relaxed geometry, from Alexandria via LeMat-Bulk.

Computed properties:
E_tot, eV per atom: -4.22

a = 3.4397 Å, b = 5.3845 Å, c = 5.3845 Å
α = 90.00°, β = 90.00°, γ = 90.00°
Sites, in units of the cell vectors:
I 0.0000 0.0000 0.5000
I 0.0000 0.5000 0.0000
Os 0.5000 0.5000 0.5000
O 0.5000 0.0000 0.0000
Ga 0.0000 0.0000 0.0000



(6)
The following is a GGA-PBEsol calculation of crystalline BeInRe at its relaxed geometry, from Alexandria via LeMat-Bulk.

Computed properties:
E_tot, eV per atom: -5.58
E_form, eV/atom: 1.189

a = 4.2633 Å, b = 4.2633 Å, c = 4.2633 Å
α = 60.00°, β = 60.00°, γ = 60.00°
Last column: magnetic moment on the atom in μB.
Sites, in units of the cell vectors:
Re 0.2500 0.2500 0.2500  1.27
Be 0.0000 0.0000 0.0000  -0.02
In 0.5000 0.5000 0.5000  -0.01



(7)
The following is a GGA-PBEsol calculation of crystalline Eu2Ir2O7 at its relaxed geometry, from Alexandria via LeMat-Bulk.

Computed properties:
E_tot, eV per atom: -8.88

a = 7.2638 Å, b = 7.2638 Å, c = 7.2638 Å
α = 60.00°, β = 60.00°, γ = 60.00°
Last column: magnetic moment on the atom in μB.
Sites, in units of the cell vectors:
Eu 0.6250 0.1250 0.1250  6.36
Eu 0.1250 0.1250 0.1250  6.36
Eu 0.1250 0.1250 0.6250  6.36
Eu 0.1250 0.6250 0.1250  6.36
Ir 0.6250 0.6250 0.6250  0.05
Ir 0.1250 0.6250 0.6250  0.05
Ir 0.6250 0.1250 0.6250  0.05
Ir 0.6250 0.6250 0.1250  0.05
O 0.0000 0.0000 0.0000  -0.13
O 0.2957 0.7043 0.2957  -0.02
O 0.9543 0.5457 0.9543  -0.02
O 0.2957 0.2957 0.7043  -0.02
O 0.7043 0.7043 0.2957  -0.02
O 0.5457 0.9543 0.9543  -0.02
O 0.9543 0.5457 0.5457  -0.02
O 0.2957 0.7043 0.7043  -0.02
O 0.5457 0.5457 0.9543  -0.02
O 0.7043 0.2957 0.2957  -0.02
O 0.2500 0.2500 0.2500  -0.13
O 0.5457 0.9543 0.5457  -0.02
O 0.9543 0.9543 0.5457  -0.02
O 0.7043 0.2957 0.7043  -0.02



(8)
The following is a GGA-PBEsol calculation of crystalline NaZn3Tc at its relaxed geometry, from Alexandria via LeMat-Bulk.

Computed properties:
E_tot, eV per atom: -2.91
E_form, eV/atom: 0.568

a = 4.7925 Å, b = 4.7925 Å, c = 4.7925 Å
α = 90.00°, β = 90.00°, γ = 90.00°
Sites, in units of the cell vectors:
Na 0.5000 0.5000 0.5000
Zn 0.0000 0.5000 0.0000
Zn 0.0000 0.0000 0.5000
Zn 0.5000 0.0000 0.0000
Tc 0.0000 0.0000 0.0000



> What is the E_tot in the second record?

-3.41 eV per atom



> Among the records above, which one has the lowest E_tot?

Eu2Ir2O7



What did the third record say?
The following is a GGA-PBEsol calculation of crystalline TlSe2Br at its relaxed geometry, from Alexandria via LeMat-Bulk.

Computed properties:
E_tot, eV per atom: -3.26
Excess energy over the best structure of this formula in the dataset, meV/atom: 0

a = 3.7717 Å, b = 5.9378 Å, c = 6.1670 Å
α = 118.78°, β = 107.81°, γ = 90.00°
Sites, in units of the cell vectors:
Br 0.7083 0.2083 0.4166
Se 0.9972 0.9972 0.9944
Se 0.3354 0.8354 0.6708
Tl 0.4591 0.4591 0.9182



> Among the records above, which one has the highest E_tot?

NaZn3Tc